VASP calculation (PBE) on LiCaAu3 after structural relaxation.

Offset from the most stable computed form, eV/atom: 0.000
Energy relative to the elements, meV/atom: -565
SG: No. 63

Cell lengths 3.3898, 4.5481, 13.6415 Å; angles 90.00, 97.14, 90.00 degrees
Last column: nearest neighbours and their distance in Å.
Fractional positions:
Li  0.2110  0.7500  0.4221  7 Au 2.66-2.89
Li  0.7890  0.2500  0.5779  7 Au 2.66-2.89
Ca  0.9188  0.7500  0.8377  12 Au 3.14-3.43, 2 Ca 3.39
Ca  0.0812  0.2500  0.1623  12 Au 3.14-3.43, 2 Ca 3.39
Au  0.6308  0.7500  0.2617  2 Li 2.75, 3 Au 2.76-2.79
Au  0.3692  0.2500  0.7383  2 Li 2.75, 3 Au 2.76-2.79
Au  0.5289  0.7500  0.0579  3 Au 2.76
Au  0.4711  0.2500  0.9421  3 Au 2.76
Au  0.6906  0.2500  0.3812  5 Li 2.66-2.89, 2 Au 2.79
Au  0.3094  0.7500  0.6188  5 Li 2.66-2.89, 2 Au 2.79